# 1
CdRu2F | PBE-GGA | optimized geometry

Summary:
DOS at the Fermi energy: 0.800 states/eV per atom
Energy relative to the elements, uncorrected: 131 meV per atom
ΔE to the lowest computed polymorph: 0.000 eV/f.u.
Symmetry: I-42d (122)

Unit cell a=11.2363 b=11.2363 c=11.2363 alpha=162.26 beta=162.26 gamma=25.19
Positions (direct):
Cd1 0.0000 0.0000 0.0000
Cd2 0.7500 0.2500 0.5000
Ru1 0.1197 0.1250 0.4947
Ru2 0.3750 0.8803 0.0053
Ru3 0.6303 0.6250 0.5053
Ru4 0.8750 0.3697 0.9947
F1 0.2500 0.7500 0.5000
F2 0.5000 0.5000 0.0000

***

# 2
Tl2ZnIn | PBE-GGA | optimized geometry

Summary:
DOS at the Fermi energy: 0.495 states/eV per atom
Total energy: -2.05 eV per atom
Symmetry: I-4m2 (119)

Unit cell a=5.6515 b=5.6515 c=5.6515 alpha=128.86 beta=128.86 gamma=75.23
Positions (direct):
Tl1 0.0000 0.0000 0.0000
Tl2 0.7500 0.2500 0.5000
Zn1 0.2500 0.7500 0.5000
In1 0.5000 0.5000 0.0000

***

# 3
Ce3Pt2C | PBE-GGA | optimized geometry

Summary:
DOS at the Fermi energy: 1.894 states/eV per atom
Total energy: -7.16 eV per atom
Symmetry: C2/c (15)

Unit cell a=7.1343 b=7.1343 c=7.5406 alpha=105.33 beta=105.33 gamma=47.26
Positions (direct):
Ce1 0.0283 0.9717 0.7500
Ce2 0.3598 0.3611 0.9306
Ce3 0.3611 0.3598 0.4306
Ce4 0.6389 0.6402 0.5694
Ce5 0.6402 0.6389 0.0694
Ce6 0.9717 0.0283 0.2500
Pt1 0.1751 0.1745 0.0876
Pt2 0.1745 0.1751 0.5876
Pt3 0.8255 0.8249 0.4124
Pt4 0.8249 0.8255 0.9124
C1 0.4622 0.5378 0.7500
C2 0.5378 0.4622 0.2500

***

# 4
Y3ScNi8 | PBE-GGA | optimized geometry

Summary:
DOS at the Fermi energy: 0.592 states/eV per atom
Total energy: -6.44 eV per atom
Symmetry: R3m (160)

Unit cell a=8.7410 b=8.7410 c=8.7410 alpha=33.46 beta=33.46 gamma=33.46
Positions (direct):
Y1 0.0000 0.0000 0.0000
Y2 0.1261 0.1261 0.1261
Y3 0.6212 0.6212 0.6212
Sc1 0.4976 0.4976 0.4976
Ni1 0.0600 0.0600 0.5603
Ni2 0.0600 0.5603 0.0600
Ni3 0.0648 0.5619 0.5619
Ni4 0.3115 0.3115 0.3115
Ni5 0.5603 0.0600 0.0600
Ni6 0.5619 0.0648 0.5619
Ni7 0.5619 0.5619 0.0648
Ni8 0.8118 0.8118 0.8118